Entry from Alexandria: a geometry-optimized CdNi2IrOs structure (PBE-GGA).

The space group is P4/mmm (No. 123) and the conventional cell measures 4.576, 4.576 and 4.710 Å, with angles of 90.00, 90.00 and 90.00 degrees. The inequivalent atoms are Cd at (0.000, 0.000, 0.000), Ni at (0.000, 0.500, 0.500), Ir at (0.500, 0.500, 0.500) and Os at (0.500, 0.500, 0.000).

The calculated formation energy is 1330 meV per atom.

***

Entry from Alexandria: a geometry-optimized CdNiSnIr structure (PBE-GGA).

The space group is F-43m (No. 216) and the conventional cell measures 6.418, 6.418 and 6.418 Å, with angles of 90.00, 90.00 and 90.00 degrees. The inequivalent atoms are Cd at (0.000, 0.000, 0.000), Ni at (0.250, 0.250, 0.750), Sn at (0.000, 0.000, 0.500) and Ir at (0.250, 0.250, 0.250).

The calculated formation energy is 2 meV per atom.

***

Entry from Alexandria: a geometry-optimized TbCdNiIr structure (PBE-GGA).

The space group is F-43m (No. 216) and the conventional cell measures 6.623, 6.623 and 6.623 Å, with angles of 90.00, 90.00 and 90.00 degrees. The inequivalent atoms are Tb at (0.000, 0.000, 0.000), Cd at (0.000, 0.000, 0.500), Ni at (0.250, 0.250, 0.750) and Ir at (0.250, 0.250, 0.250).

The calculated formation energy is -278 meV per atom.

***

Entry from Alexandria: a geometry-optimized ThCdNiIr structure (PBE-GGA).

The space group is F-43m (No. 216) and the conventional cell measures 6.801, 6.801 and 6.801 Å, with angles of 90.00, 90.00 and 90.00 degrees. The inequivalent atoms are Th at (0.000, 0.000, 0.000), Cd at (0.000, 0.000, 0.500), Ni at (0.250, 0.250, 0.750) and Ir at (0.250, 0.250, 0.250).

The calculated formation energy is -324 meV per atom.

***

Entry from Alexandria: a geometry-optimized TmCdNiIr structure (PBE-GGA).

The space group is F-43m (No. 216) and the conventional cell measures 6.553, 6.553 and 6.553 Å, with angles of 90.00, 90.00 and 90.00 degrees. The inequivalent atoms are Tm at (0.000, 0.000, 0.000), Cd at (0.000, 0.000, 0.500), Ni at (0.250, 0.250, 0.250) and Ir at (0.250, 0.250, 0.750).

The calculated formation energy is -338 meV per atom.

***

Entry from Alexandria: a geometry-optimized NpCdIr structure (PBE-GGA).

The space group is I4mm (No. 107) and the conventional cell measures 3.145, 3.145 and 12.492 Å, with angles of 90.00, 90.00 and 90.00 degrees. The inequivalent atoms are Np at (0.000, 0.000, 0.000), Cd at (0.000, 0.000, 0.294) and Ir at (0.000, 0.000, 0.641).

The calculated formation energy is -9 meV per atom.

***

Entry from Alexandria: a geometry-optimized Np2CdIr structure (PBE-GGA).

The space group is P4/mmm (No. 123) and the conventional cell measures 3.205, 3.205 and 8.718 Å, with angles of 90.00, 90.00 and 90.00 degrees. The inequivalent atoms are Np at (0.000, 0.000, 0.212), Cd at (0.500, 0.500, 0.500) and Ir at (0.500, 0.500, 0.000).

The calculated formation energy is 14 meV per atom.

***

Entry from Alexandria: a geometry-optimized NpCdIrPt structure (PBE-GGA).

The space group is F-43m (No. 216) and the conventional cell measures 6.741, 6.741 and 6.741 Å, with angles of 90.00, 90.00 and 90.00 degrees. The inequivalent atoms are Np at (0.000, 0.000, 0.000), Cd at (0.000, 0.000, 0.500), Ir at (0.250, 0.250, 0.250) and Pt at (0.250, 0.250, 0.750).

The calculated formation energy is -249 meV per atom.

***

Entry from Alexandria: a geometry-optimized Cd2Ir2O structure (PBE-GGA).

The space group is I4/mmm (No. 139) and the conventional cell measures 3.996, 3.996 and 12.398 Å, with angles of 90.00, 90.00 and 90.00 degrees. The inequivalent atoms are Cd at (0.000, 0.500, 0.250), Ir at (0.000, 0.000, 0.097) and O at (0.000, 0.000, 0.500).

For the formation energy (no corrections), the calculation gives 1.262 eV/atom. As for the energy above the lowest structure with this stoichiometry: 936 meV per atom.

***

Entry from Alexandria: a geometry-optimized Cd2Ir2O7 structure (PBE-GGA).

The space group is C2/m (No. 12) and the conventional cell measures 6.604, 9.969 and 5.427 Å, with angles of 90.00, 97.50 and 90.00 degrees. The inequivalent atoms are Cd at (0.000, 0.201, 0.000), Ir at (0.231, 0.000, 0.609), O at (0.000, 0.500, 0.500), O at (0.061, 0.000, 0.294) and O at (0.236, 0.340, 0.208).

For the formation energy (no corrections), the calculation gives -0.615 eV/atom. As for the energy above the lowest structure with this stoichiometry: 264 meV per atom.

***

Entry from Alexandria: a geometry-optimized Cd2IrO6 structure (PBE-GGA).

The space group is P4_2/mnm (No. 136) and the conventional cell measures 4.947, 4.947 and 10.058 Å, with angles of 90.00, 90.00 and 90.00 degrees. The inequivalent atoms are Cd at (0.000, 0.000, 0.165), Ir at (0.000, 0.000, 0.500), O at (0.183, 0.183, 0.358) and O at (0.235, 0.235, 0.000).

For the formation energy (no corrections), the calculation gives -0.613 eV/atom. As for the energy above the lowest structure with this stoichiometry: 0 meV per atom.

***

Entry from Alexandria: a geometry-optimized CdIrO3 structure (PBE-GGA).

The space group is Pm-3m (No. 221) and the conventional cell measures 4.075, 4.075 and 4.075 Å, with angles of 90.00, 90.00 and 90.00 degrees. The inequivalent atoms are Cd at (0.000, 0.000, 0.000), Ir at (0.500, 0.500, 0.500) and O at (0.000, 0.000, 0.500).

For the formation energy (no corrections), the calculation gives 1.050 eV/atom.

***

| no. | size of the total moment (μB/f.u.) |
| --- | --- |
| 1 | 2.41 |
| 2 | 0.00 |
| 3 | 0.00 |
| 4 | 0.00 |
| 5 | 0.00 |
| 6 | 3.72 |
| 7 | 8.12 |
| 8 | 3.04 |
| 9 | 3.99 |
| 10 | 0.00 |
| 11 | 0.38 |
| 12 | 3.92 |